DFT (GGA-PBE) results for a geometry-optimized ScTl2Br structure.

a = 9.8033 Å, b = 9.8033 Å, c = 9.8033 Å
α = 21.35°, β = 21.35°, γ = 21.35°
Fractional positions:
Sc1 0.0000 0.0000 0.0000
Tl1 0.2506 0.2506 0.2506
Tl2 0.7494 0.7494 0.7494
Br1 0.5000 0.5000 0.5000

The crystal system is trigonal. The magnetization is 0.01 μB/cell. The value obtained for the density of states at the Fermi level is 3.52 states/eV per cell. The value obtained for the formation energy (no corrections) is -0.15 eV per atom.